No. 1
# Mg4GaN | the Alexandria database | GGA-PBE | relaxed
data_Mg4GaN
_chemical_formula_sum 'Mg8 Ga2 N2'
_cell_length_a 5.345
_cell_length_b 6.039
_cell_length_c 7.228
_cell_angle_alpha 104.47
_cell_angle_beta 111.59
_cell_angle_gamma 90.08
_space_group_name_H-M_alt 'P 1'
_space_group_IT_number 1
loop_
_space_group_symop_operation_xyz
'x,y,z'
loop_
_atom_site_label
_atom_site_fract_x
_atom_site_fract_y
_atom_site_fract_z
Mg1 0.008 0.443 0.198
Mg2 0.190 0.943 0.198
Mg3 0.254 0.828 0.613
Mg4 0.358 0.328 0.613
Mg5 0.642 0.672 0.387
Mg6 0.746 0.172 0.387
Mg7 0.810 0.057 0.802
Mg8 0.992 0.557 0.802
Ga1 0.375 0.251 0.000
Ga2 0.625 0.749 0.000
N1 0.000 0.500 0.500
N2 0.500 0.000 0.500
# crystal system	triclinic
# raw formation energy	-0.2679	eV per atom
# energy	-19.34	eV/f.u.

No. 2
# In2ReSb | the Alexandria database | GGA-PBE | relaxed
data_In2ReSb
_chemical_formula_sum 'In2 Re1 Sb1'
_cell_length_a 4.237
_cell_length_b 4.237
_cell_length_c 4.684
_cell_angle_alpha 90.00
_cell_angle_beta 90.00
_cell_angle_gamma 90.00
_space_group_name_H-M_alt 'P 1'
_space_group_IT_number 1
loop_
_space_group_symop_operation_xyz
'x,y,z'
loop_
_atom_site_label
_atom_site_fract_x
_atom_site_fract_y
_atom_site_fract_z
In1 0.000 0.500 0.000
In2 0.500 0.000 0.000
Re1 0.000 0.000 0.500
Sb1 0.500 0.500 0.500
# crystal system	tetragonal
# raw formation energy	0.8114	eV per atom
# energy	-18.80	eV/f.u.

No. 3
# BaMn2Ni | the Alexandria database | GGA-PBE | relaxed
data_BaMn2Ni
_chemical_formula_sum 'Ba1 Mn2 Ni1'
_cell_length_a 3.987
_cell_length_b 4.213
_cell_length_c 4.830
_cell_angle_alpha 90.00
_cell_angle_beta 90.00
_cell_angle_gamma 90.00
_space_group_name_H-M_alt 'P 1'
_space_group_IT_number 1
loop_
_space_group_symop_operation_xyz
'x,y,z'
loop_
_atom_site_label
_atom_site_fract_x
_atom_site_fract_y
_atom_site_fract_z
Ba1 0.000 0.000 0.000
Mn1 0.000 0.500 0.500
Mn2 0.500 0.000 0.500
Ni1 0.500 0.500 0.000
# crystal system	orthorhombic
# energy above the lowest structure with this stoichiometry	576	meV per atom
# ΔH_f (0 K)	0.83	eV/atom
# energy	-22.71	eV/f.u.

No. 4
# Nd2GeW | the Alexandria database | GGA-PBE | relaxed
data_Nd2GeW
_chemical_formula_sum 'Nd2 Ge1 W1'
_cell_length_a 11.113
_cell_length_b 11.113
_cell_length_c 11.113
_cell_angle_alpha 16.40
_cell_angle_beta 16.40
_cell_angle_gamma 16.40
_space_group_name_H-M_alt 'P 1'
_space_group_IT_number 1
loop_
_space_group_symop_operation_xyz
'x,y,z'
loop_
_atom_site_label
_atom_site_fract_x
_atom_site_fract_y
_atom_site_fract_z
Nd1 0.089 0.089 0.089
Nd2 0.911 0.911 0.911
Ge1 0.500 0.500 0.500
W1 0.000 0.000 0.000
# crystal system	trigonal
# ΔH_f (0 K)	0.66	eV/atom
# energy	-24.47	eV/f.u.

No. 5
# IrCl3 | the Alexandria database | GGA-PBE | relaxed
data_IrCl3
_chemical_formula_sum 'Ir4 Cl12'
_cell_length_a 20.189
_cell_length_b 20.009
_cell_length_c 5.047
_cell_angle_alpha 84.82
_cell_angle_beta 80.77
_cell_angle_gamma 14.42
_space_group_name_H-M_alt 'P 1'
_space_group_IT_number 1
loop_
_space_group_symop_operation_xyz
'x,y,z'
loop_
_atom_site_label
_atom_site_fract_x
_atom_site_fract_y
_atom_site_fract_z
Ir1 0.009 0.009 0.741
Ir2 0.259 0.259 0.991
Ir3 0.741 0.741 0.009
Ir4 0.991 0.991 0.259
Cl1 0.040 0.710 0.710
Cl2 0.084 0.506 0.283
Cl3 0.283 0.627 0.084
Cl4 0.290 0.960 0.960
Cl5 0.373 0.717 0.494
Cl6 0.494 0.916 0.373
Cl7 0.506 0.084 0.627
Cl8 0.627 0.283 0.506
Cl9 0.710 0.040 0.040
Cl10 0.717 0.373 0.916
Cl11 0.916 0.494 0.717
Cl12 0.960 0.290 0.290
# crystal system	orthorhombic
# raw formation energy	0.2995	eV per atom
# energy	-13.20	eV/f.u.

No. 6
# SrTeMo2 | the Alexandria database | GGA-PBE | relaxed
data_SrTeMo2
_chemical_formula_sum 'Sr1 Te1 Mo2'
_cell_length_a 9.612
_cell_length_b 9.612
_cell_length_c 9.612
_cell_angle_alpha 19.72
_cell_angle_beta 19.72
_cell_angle_gamma 19.72
_space_group_name_H-M_alt 'P 1'
_space_group_IT_number 1
loop_
_space_group_symop_operation_xyz
'x,y,z'
loop_
_atom_site_label
_atom_site_fract_x
_atom_site_fract_y
_atom_site_fract_z
Sr1 0.000 0.000 0.000
Te1 0.500 0.500 0.500
Mo1 0.237 0.237 0.237
Mo2 0.763 0.763 0.763
# crystal system	trigonal
# raw formation energy	0.9027	eV per atom
# energy	-22.87	eV/f.u.

No. 7
# Ca3C | the Alexandria database | GGA-PBE | relaxed
data_Ca3C
_chemical_formula_sum 'Ca3 C1'
_cell_length_a 3.866
_cell_length_b 3.866
_cell_length_c 9.905
_cell_angle_alpha 100.44
_cell_angle_beta 100.44
_cell_angle_gamma 58.69
_space_group_name_H-M_alt 'P 1'
_space_group_IT_number 1
loop_
_space_group_symop_operation_xyz
'x,y,z'
loop_
_atom_site_label
_atom_site_fract_x
_atom_site_fract_y
_atom_site_fract_z
Ca1 0.000 0.000 0.000
Ca2 0.210 0.210 0.632
Ca3 0.790 0.790 0.368
C1 0.500 0.500 0.500
# crystal system	monoclinic
# energy above the lowest structure with this stoichiometry	67	meV per atom
# ΔH_f (0 K)	0.31	eV/atom
# energy	-13.98	eV/f.u.